# 1
TiReSeBr2 after structural relaxation. Source: Alexandria via LeMat-Bulk, functional PBE.

Geometry as extended XYZ:
```
5
Lattice="-2.930 -2.963 3.090 -1.402 -2.873 -4.085 3.920 -3.045 0.796" Properties=species:S:1:pos:R:3 pbc="T T T"
Re -0.206 -4.441 -0.100
Ti 0.000 0.000 0.000
Br -0.701 -1.437 -2.043
Se 1.960 -1.523 0.398
Br -1.465 -1.482 1.545
```

* E above lowest polymorph: 0 meV per atom



# 2
AcAlCu after structural relaxation. Source: Alexandria via LeMat-Bulk, functional PBE.

Geometry as extended XYZ:
```
3
Lattice="-0.940 4.639 0.063 -3.514 -0.679 -2.413 -0.283 -0.116 4.305" Properties=species:S:1:pos:R:3 pbc="T T T"
Cu -0.158 0.778 0.011
Ac -3.063 2.599 -0.131
Al -1.516 0.467 2.076
```

* E above lowest polymorph: 42 meV per atom



# 3
Pa2HgGe after structural relaxation. Source: Alexandria via LeMat-Bulk, functional PBE.

Geometry as extended XYZ:
```
4
Lattice="-0.590 -4.813 1.736 3.541 -2.064 3.119 -1.108 -0.830 4.961" Properties=species:S:1:pos:R:3 pbc="T T T"
Pa 0.461 -1.927 2.454
Hg 0.000 0.000 0.000
Ge 0.922 -3.854 4.908
Pa 1.382 -5.780 7.362
```

* E above lowest polymorph: 147 meV per atom



# 4
Rb2NaBr3 after structural relaxation. Source: Alexandria via LeMat-Bulk, functional PBE.

Geometry as extended XYZ:
```
6
Lattice="-3.378 0.655 -3.105 0.352 -6.577 -1.770 -3.383 1.357 7.425" Properties=species:S:1:pos:R:3 pbc="T T T"
Br -1.513 -2.961 -2.438
Br -1.411 -0.462 1.437
Br -4.998 -4.103 1.113
Rb -1.508 -3.840 0.830
Na -1.689 0.328 -1.553
Rb -4.901 -0.725 1.720
```

* calculated total energy: -18.2 eV per formula unit



# 5
Tb8Y2Er after structural relaxation. Source: Alexandria via LeMat-Bulk, functional PBE.

Geometry as extended XYZ:
```
11
Lattice="-2.187 4.582 4.000 -3.397 -2.829 9.366 2.748 -0.428 9.976" Properties=species:S:1:pos:R:3 pbc="T T T"
Tb -0.809 -0.185 8.871
Y -0.601 0.107 5.628
Tb -1.027 -1.508 16.278
Y -2.235 1.218 17.714
Tb -2.470 -1.253 12.385
Tb -3.341 1.416 10.661
Er 0.000 0.000 0.000
Tb -2.027 1.510 14.470
Tb 0.505 -0.091 12.681
Tb -0.366 2.578 10.956
Tb -1.808 2.833 7.063
```

* E above lowest polymorph: 68 meV per atom



# 6
NiHgW2 after structural relaxation. Source: Alexandria via LeMat-Bulk, functional PBE.

Geometry as extended XYZ:
```
4
Lattice="5.226 -0.023 -0.042 2.495 4.591 0.042 -3.572 -2.772 2.620" Properties=species:S:1:pos:R:3 pbc="T T T"
W 3.787 2.241 0.000
Ni 1.392 2.052 1.331
W 0.073 0.043 0.000
Hg 2.757 -0.255 1.289
```

* calculated total energy: -29.9 eV per formula unit



no.,calculated volume (Å³/atom)
1,27.1
2,25.5
3,24.2
4,37.8
5,33.0
6,15.8